## LiPuTh2 (PBE-GGA)

Data for LiPuTh2 after structural relaxation.

Total DFT energy (no corrections) ... -7.6250 eV/atom
Distance to the lowest polymorph of the same formula ... 0.0000 eV/atom
Energy of formation ... 0.15 eV per atom
Theoretical density ... 11.2 g cm⁻³
M_tot ... 5.783 μB/f.u.

Cell: 5.5022 5.5022 3.5126 Å, 90.00 90.00 90.00°
With the nearest neighbours (Å) after each atom.
Space group P4/mmm (No. 123)
Unique sites:
1 Li 0.0000 0.0000 0.0000 x1  8 Th 3.26, 2 Li 3.51
2 Pu 0.5000 0.5000 0.0000 x1  8 Th 3.26, 2 Pu 3.51
3 Th 0.0000 0.5000 0.5000 x2  4 Li 3.26, 4 Pu 3.26, 2 Th 3.51